(1)
DFT (PBEsol) results for a relaxed structure of TiCrAsN2.

Summary:
- Formation energy (no corrections): 4.3 kcal/mol of atoms
- Fermi-level density of states: 0.6142 states/eV/atom
- Raw total energy: -39.8 eV for the cell shown
- Size of the total moment: 0.000 μB per atom

Cell: 3.631 3.631 4.853 Å, 90.00 90.00 90.00°
Element x y z (fractional)
Cr (0.000, 0.000, 0.000)
As (0.000, 0.000, 0.500)
N (0.000, 0.500, 0.000)
N (0.500, 0.000, 0.000)
Ti (0.500, 0.500, 0.500)



(2)
DFT (PBEsol) results for a relaxed structure of TlCr2AsN.

Summary:
- Formation energy (no corrections): 9.4 kcal/mol of atoms
- Fermi-level density of states: 0.8790 states/eV/atom
- Raw total energy: -34.7 eV for the cell shown
- Size of the total moment: 1.047 μB per atom

Cell: 3.998 3.998 4.623 Å, 90.00 90.00 90.00°
Each line ends with the local moment (μB).
Element x y z (fractional)
Cr (0.000, 0.500, 0.000)  2.58
Cr (0.500, 0.000, 0.000)  2.58
Tl (0.500, 0.500, 0.500)  -0.06
As (0.000, 0.000, 0.500)  -0.05
N (0.000, 0.000, 0.000)  -0.13



(3)
DFT (PBEsol) results for a relaxed structure of NaCr2As2.

Summary:
- Fermi-level density of states: 0.2103 states/eV/atom
- Raw total energy: -32.9 eV for the cell shown
- Size of the total moment: 0.000 μB per atom

Cell: 3.464 3.464 7.710 Å, 102.98 102.98 90.00°
Element x y z (fractional)
Cr (0.250, 0.750, 0.500)
Cr (0.750, 0.250, 0.500)
As (0.367, 0.367, 0.734)
As (0.633, 0.633, 0.266)
Na (0.000, 0.000, 0.000)



(4)
DFT (PBEsol) results for a relaxed structure of NaZrCr2As.

Summary:
- Fermi-level density of states: 0.7634 states/eV/atom
- Raw total energy: -31.7 eV for the cell shown
- Size of the total moment: 0.675 μB per atom

Cell: 4.507 4.507 4.752 Å, 90.00 90.00 90.00°
Each line ends with the local moment (μB).
Element x y z (fractional)
Cr (0.000, 0.500, 0.000)  2.18
Cr (0.500, 0.000, 0.000)  2.18
As (0.000, 0.000, 0.000)  -0.10
Zr (0.500, 0.500, 0.500)  -0.66
Na (0.000, 0.000, 0.500)  -0.02



(5)
DFT (PBEsol) results for a relaxed structure of NbCrAs2S.

Summary:
- Formation energy (no corrections): 12.4 kcal/mol of atoms
- Fermi-level density of states: 0.8839 states/eV/atom
- Raw total energy: -33.0 eV for the cell shown
- Size of the total moment: 0.654 μB per atom

Cell: 4.199 4.685 4.685 Å, 90.00 90.00 90.00°
Each line ends with the local moment (μB).
Element x y z (fractional)
S (0.500, 0.000, 0.000)  -0.13
Cr (0.000, 0.000, 0.000)  1.62
Nb (0.500, 0.500, 0.500)  1.68
As (0.000, 0.000, 0.500)  -0.10
As (0.000, 0.500, 0.000)  -0.10



(6)
DFT (PBEsol) results for a relaxed structure of Cr5NiAs3.

Summary:
- Fermi-level density of states: 1.1548 states/eV/atom
- Raw total energy: -73.2 eV for the cell shown
- Size of the total moment: 0.559 μB per atom

Cell: 3.538 6.179 6.206 Å, 119.85 90.00 90.00°
Each line ends with the local moment (μB).
Element x y z (fractional)
Cr (0.500, 0.601, 0.000)  2.56
Cr (0.500, 0.990, 0.580)  2.44
Cr (0.500, 0.409, 0.420)  2.44
Cr (0.000, 0.992, 0.244)  -1.28
Cr (0.000, 0.748, 0.756)  -1.28
Ni (0.000, 0.257, 0.000)  0.09
As (0.000, 0.659, 0.333)  -0.05
As (0.000, 0.326, 0.667)  -0.05
As (0.500, 0.017, 0.000)  0.00



(7)
DFT (PBEsol) results for a relaxed structure of CrNi2As.

Summary:
- Fermi-level density of states: 1.1281 states/eV/atom
- Raw total energy: -27.6 eV for the cell shown
- Size of the total moment: 0.331 μB per atom

Cell: 2.632 3.835 4.838 Å, 90.00 104.55 90.00°
Each line ends with the local moment (μB).
Element x y z (fractional)
As (0.500, 0.500, 0.000)  -0.03
Cr (0.000, 0.500, 0.500)  1.19
Ni (0.629, 0.000, 0.750)  0.06
Ni (0.371, 0.000, 0.250)  0.06



(8)
DFT (PBEsol) results for a relaxed structure of CrNi2As.

Summary:
- Fermi-level density of states: 1.0469 states/eV/atom
- Raw total energy: -27.7 eV for the cell shown
- Size of the total moment: 0.321 μB per atom

Cell: 2.652 3.695 4.959 Å, 90.00 105.51 90.00°
Each line ends with the local moment (μB).
Element x y z (fractional)
As (0.308, 0.000, 0.616)  -0.03
Cr (0.699, 0.500, 0.397)  1.19
Ni (0.061, 0.000, 0.122)  0.15
Ni (0.448, 0.500, 0.895)  -0.04



(9)
DFT (PBEsol) results for a relaxed structure of CrNiAs2Pt.

Summary:
- Fermi-level density of states: 0.7786 states/eV/atom
- Raw total energy: -29.7 eV for the cell shown
- Size of the total moment: 0.000 μB per atom

Cell: 4.294 4.429 4.429 Å, 90.00 90.00 90.00°
Element x y z (fractional)
Ni (0.500, 0.000, 0.000)
As (0.000, 0.000, 0.500)
As (0.000, 0.500, 0.000)
Pt (0.500, 0.500, 0.500)
Cr (0.000, 0.000, 0.000)



(10)
DFT (PBEsol) results for a relaxed structure of CrNi2AsSe.

Summary:
- Formation energy (no corrections): 18.6 kcal/mol of atoms
- Fermi-level density of states: 0.8604 states/eV/atom
- Raw total energy: -27.5 eV for the cell shown
- Size of the total moment: 0.724 μB per atom

Cell: 4.202 4.202 5.206 Å, 90.00 90.00 90.00°
Each line ends with the local moment (μB).
Element x y z (fractional)
Ni (0.000, 0.500, 0.000)  -0.12
Ni (0.500, 0.000, 0.000)  -0.12
As (0.000, 0.000, 0.500)  -0.20
Se (0.000, 0.000, 0.000)  0.00
Cr (0.500, 0.500, 0.500)  3.79



(11)
DFT (PBEsol) results for a relaxed structure of Cr3AsO.

Summary:
- Formation energy (no corrections): -8.0 kcal/mol of atoms
- Fermi-level density of states: 0.7172 states/eV/atom
- Raw total energy: -42.8 eV for the cell shown
- Size of the total moment: 0.523 μB per atom
- Polymorph energy (0 for the lowest one): 0 meV/atom

Cell: 3.802 3.802 3.802 Å, 90.00 90.00 90.00°
Each line ends with the local moment (μB).
Element x y z (fractional)
Cr (0.000, 0.500, 0.000)  0.87
Cr (0.000, 0.000, 0.500)  0.87
Cr (0.500, 0.000, 0.000)  0.87
As (0.500, 0.500, 0.500)  -0.05
O (0.000, 0.000, 0.000)  -0.04



(12)
DFT (PBEsol) results for a relaxed structure of Cr3AsO.

Summary:
- Formation energy (no corrections): 29.3 kcal/mol of atoms
- Fermi-level density of states: 0.4081 states/eV/atom
- Raw total energy: -34.7 eV for the cell shown
- Size of the total moment: 2.579 μB per atom
- Polymorph energy (0 for the lowest one): 1618 meV/atom

Cell: 4.679 4.679 4.679 Å, 90.00 90.00 90.00°
Each line ends with the local moment (μB).
Element x y z (fractional)
Cr (0.000, 0.500, 0.000)  3.83
Cr (0.000, 0.000, 0.500)  3.83
Cr (0.500, 0.000, 0.000)  3.83
As (0.000, 0.000, 0.000)  -0.13
O (0.500, 0.500, 0.500)  0.07